The following is a PBE with a Hubbard U calculation of an optimized crystal structure of Mn2PbO, from Alexandria via LeMat-Bulk.

a = 6.116 Å, b = 6.116 Å, c = 6.116 Å
α = 117.01°, β = 117.01°, γ = 95.25°
Positions (direct):
Mn: 0.375 0.248 0.373
Mn: 0.752 0.125 0.127
Mn: 0.875 0.002 0.627
Mn: 0.998 0.625 0.873
Pb: 0.250 0.750 0.500
Pb: 0.500 0.500 0.000
O: 0.000 0.000 0.000
O: 0.750 0.250 0.500

Symmetry ... No. 122
Total energy ... -50.98 eV per cell
Fermi-level density of states ... 4.2 states/eV per cell
Distance to the lowest polymorph of the same formula ... 0.000 eV/atom